## In2NiSbP (PBE)

Data for a relaxed structure of In2NiSbP.

Properties
E_form (uncorrected) (eV per formula unit): 5.89
N(E_F) (states/eV per cell): 8.46
Spin magnetization (μB per formula unit): 0.914

Unit cell a=5.7539 b=5.0419 c=5.7539 alpha=90.00 beta=90.00 gamma=90.00
Site moments in Bohr magnetons follow the coordinates.
Fractional coordinates of all 5 atoms:
In: 0.0000 0.0000 0.5000  -0.01
In: 0.5000 0.0000 0.0000  -0.01
P: 0.0000 0.5000 0.0000  0.03
Sb: 0.0000 0.0000 0.0000  -0.01
Ni: 0.5000 0.5000 0.5000  0.90